(1)
Compound: NaSn2Au
Source: the Alexandria database
Functional: GGA-PBE
Structure: optimized geometry

Values from the calculation:
- Energy of formation from the pure elements: -0.218 eV per atom
- Fermi-level density of states: 5.750 states/eV per cell
- Symmetry: No. 71
- Total magnetization: 0.0000 μB per atom
- Crystal system: orthorhombic

a = 4.8633 Å, b = 10.0301 Å, c = 10.4251 Å
α = 118.75°, β = 103.49°, γ = 90.00°
Last column: nearest neighbours and their distance in Å.
Positions (direct):
Na1 0.6990 0.6990 0.3979  8 Sn 3.23-3.51, 4 Au 3.54
Na2 0.5000 0.2776 0.0000  4 Au 3.56, 6 Sn 3.58-3.64
Na3 0.5000 0.7224 0.0000  4 Au 3.56, 6 Sn 3.58-3.64
Na4 0.3010 0.3010 0.6021  8 Sn 3.23-3.51, 4 Au 3.54
Sn1 0.9217 0.4217 0.8433  2 Au 2.69, 1 Sn 2.76
Sn2 0.6931 0.3428 0.3861  3 Au 2.79-2.96, 1 Sn 3.00
Sn3 0.6931 0.0433 0.3861  3 Au 2.79-2.96, 1 Sn 3.00
Sn4 0.3069 0.6572 0.6139  3 Au 2.79-2.96, 1 Sn 3.00
Sn5 0.0861 0.0861 0.1722  2 Au 2.82, 1 Sn 3.03
Sn6 0.0783 0.5783 0.1567  2 Au 2.69, 1 Sn 2.76
Sn7 0.9139 0.9139 0.8278  2 Au 2.82, 1 Sn 3.03
Sn8 0.3069 0.9567 0.6139  3 Au 2.79-2.96, 1 Sn 3.00
Au1 0.8530 0.5930 0.7061  5 Sn 2.69-2.96
Au2 0.1470 0.4070 0.2939  5 Sn 2.69-2.96
Au3 0.1470 0.8870 0.2939  5 Sn 2.69-2.96
Au4 0.8530 0.1130 0.7061  5 Sn 2.69-2.96

(2)
Compound: TlHg2AuCl
Source: the Alexandria database
Functional: GGA-PBE
Structure: optimized geometry

Values from the calculation:
- Fermi-level density of states: 2.062 states/eV per cell
- Formation energy (no corrections): -237 meV/atom
- Symmetry: No. 123
- Total magnetization: 0.0000 μB per atom
- Crystal system: tetragonal

a = 5.3656 Å, b = 5.3656 Å, c = 5.8052 Å
α = 90.00°, β = 90.00°, γ = 90.00°
Last column: nearest neighbours and their distance in Å.
Positions (direct):
Tl1 0.0000 0.0000 0.5000  2 Au 2.90
Au1 0.0000 0.0000 0.0000  4 Hg 2.68, 2 Tl 2.90
Hg1 0.0000 0.5000 0.0000  2 Au 2.68
Hg2 0.5000 0.0000 0.0000  2 Au 2.68
Cl1 0.5000 0.5000 0.5000  4 Tl 3.79, 8 Hg 3.95

(3)
Compound: NbH3Ir
Source: the Alexandria database
Functional: GGA-PBE
Structure: optimized geometry

Values from the calculation:
- Fermi-level density of states: 4.948 states/eV per cell
- Symmetry: No. 221
- Total magnetization: 0.1367 μB per atom
- DFT total energy: -5.288 eV/atom
- Crystal system: cubic

a = 3.5436 Å, b = 3.5436 Å, c = 3.5436 Å
α = 90.00°, β = 90.00°, γ = 90.00°
Last column: nearest neighbours and their distance in Å.
Positions (direct):
H1 0.0000 0.5000 0.0000  2 Nb 1.77
H2 0.0000 0.0000 0.5000  2 Nb 1.77
H3 0.5000 0.0000 0.0000  2 Nb 1.77
Nb1 0.0000 0.0000 0.0000  6 H 1.77
Ir1 0.5000 0.5000 0.5000  12 H 2.51

(4)
Compound: CaNiHg2
Source: the Alexandria database
Functional: GGA-PBE
Structure: optimized geometry

Values from the calculation:
- Energy of formation from the pure elements: -0.094 eV per atom
- Fermi-level density of states: 2.092 states/eV per cell
- Symmetry: No. 10
- Total magnetization: 0.0000 μB per atom
- Crystal system: monoclinic

a = 4.3453 Å, b = 3.6133 Å, c = 5.9744 Å
α = 72.29°, β = 90.00°, γ = 90.00°
Last column: nearest neighbours and their distance in Å.
Positions (direct):
Ni1 0.5000 0.2500 0.2500  4 Hg 2.66
Ca1 0.5000 0.7500 0.7500  2 Ni 2.98, 8 Hg 3.24-3.25
Hg1 0.0000 0.1120 0.0307  2 Ni 2.66
Hg2 0.0000 0.3880 0.4693  2 Ni 2.66

(5)
Compound: Ti2NiMo
Source: the Alexandria database
Functional: GGA-PBE
Structure: optimized geometry

Values from the calculation:
- Energy of formation from the pure elements: 0.414 eV per atom
- Fermi-level density of states: 9.668 states/eV per cell
- Symmetry: No. 122
- Polymorph energy (0 for the lowest one): 702.5 meV per atom
- Total magnetization: 0.0000 μB per atom
- Crystal system: tetragonal

a = 3.7551 Å, b = 3.7551 Å, c = 9.3402 Å
α = 78.40°, β = 78.40°, γ = 90.00°
Last column: nearest neighbours and their distance in Å.
Positions (direct):
Ni1 0.5000 0.5000 0.0000  4 Ti 2.60, 4 Mo 2.66
Ni2 0.2500 0.7500 0.5000  4 Ti 2.60, 4 Mo 2.66
Mo1 0.0000 0.0000 0.0000  4 Ti 2.60, 4 Ni 2.66
Mo2 0.7500 0.2500 0.5000  4 Ti 2.60, 4 Ni 2.66
Ti1 0.6253 0.1250 0.2500  2 Mo 2.60, 2 Ni 2.60, 4 Ti 2.65-2.66
Ti2 0.1247 0.6250 0.2500  2 Mo 2.60, 2 Ni 2.60, 4 Ti 2.65-2.66
Ti3 0.3750 0.3747 0.7500  2 Mo 2.60, 2 Ni 2.60, 4 Ti 2.65-2.66
Ti4 0.8750 0.8753 0.7500  2 Mo 2.60, 2 Ni 2.60, 4 Ti 2.65-2.66

(6)
Compound: Li8Cu
Source: the Alexandria database
Functional: GGA-PBE
Structure: optimized geometry

Values from the calculation:
- Energy of formation from the pure elements: 0.008 eV per atom
- Fermi-level density of states: 2.906 states/eV per cell
- Symmetry: No. 139
- Total magnetization: 0.0000 μB per atom
- Crystal system: tetragonal

a = 6.5481 Å, b = 6.5481 Å, c = 6.5481 Å
α = 95.65°, β = 95.65°, γ = 143.44°
Last column: nearest neighbours and their distance in Å.
Positions (direct):
Cu1 0.0000 0.0000 0.0000  12 Li 2.82-2.83
Li1 0.3445 0.6555 0.0000  8 Li 2.74-3.04, 2 Cu 2.82
Li2 0.6555 0.3445 0.0000  8 Li 2.74-3.04, 2 Cu 2.82
Li3 0.0000 0.3217 0.3217  1 Cu 2.83, 11 Li 2.87-3.14
Li4 0.6555 0.6555 0.3111  8 Li 2.74-3.04, 2 Cu 2.82
Li5 0.3217 0.0000 0.3217  1 Cu 2.83, 11 Li 2.87-3.14
Li6 0.3445 0.3445 0.6889  8 Li 2.74-3.04, 2 Cu 2.82
Li7 0.0000 0.6783 0.6783  1 Cu 2.83, 11 Li 2.87-3.14
Li8 0.6783 0.0000 0.6783  1 Cu 2.83, 11 Li 2.87-3.14

(7)
Compound: ThSc2Ti
Source: the Alexandria database
Functional: GGA-PBE
Structure: optimized geometry

Values from the calculation:
- Energy of formation from the pure elements: 0.211 eV per atom
- Fermi-level density of states: 6.693 states/eV per cell
- Symmetry: No. 225
- Polymorph energy (0 for the lowest one): 120.3 meV per atom
- Total magnetization: 0.0001 μB per atom
- Crystal system: cubic

a = 5.1442 Å, b = 5.1442 Å, c = 5.1442 Å
α = 60.00°, β = 60.00°, γ = 60.00°
Last column: nearest neighbours and their distance in Å.
Positions (direct):
Sc1 0.2500 0.2500 0.2500  4 Th 3.15, 4 Ti 3.15
Sc2 0.7500 0.7500 0.7500  4 Th 3.15, 4 Ti 3.15
Th1 0.0000 0.0000 0.0000  8 Sc 3.15
Ti1 0.5000 0.5000 0.5000  8 Sc 3.15

(8)
Compound: SrFeN2
Source: the Alexandria database
Functional: GGA-PBE
Structure: optimized geometry

Values from the calculation:
- Fermi-level density of states: 4.454 states/eV per cell
- Formation energy (no corrections): -313 meV/atom
- Symmetry: No. 122
- Total magnetization: 0.0000 μB per atom
- Crystal system: tetragonal

a = 5.1010 Å, b = 5.1010 Å, c = 5.7036 Å
α = 63.44°, β = 63.44°, γ = 90.00°
Last column: nearest neighbours and their distance in Å.
Positions (direct):
Sr1 0.0000 0.0000 0.0000  4 N 2.55
Sr2 0.7500 0.2500 0.5000  4 N 2.55
Fe1 0.5000 0.5000 0.0000  4 N 1.80
Fe2 0.2500 0.7500 0.5000  4 N 1.80
N1 0.4998 0.1250 0.2500  2 Fe 1.80
N2 0.2502 0.6250 0.2500  2 Fe 1.80
N3 0.3750 0.5002 0.7500  2 Fe 1.80
N4 0.8750 0.7498 0.7500  2 Fe 1.80